Entry from the Alexandria database: a geometry-optimized Mg7Ga2Pd2 structure (PBE-GGA).

Cell and atoms, written as POSCAR:
```
Mg7Ga2Pd2
1.0
3.4860 -4.8644 0.0000
3.4860 4.8644 0.0000
0.0000 0.0000 6.9682
Mg Ga Pd
7 2 2
Direct
0.0000 0.0000 0.0000 Mg
0.0000 0.5000 0.2803 Mg
0.0000 0.5000 0.7197 Mg
0.5000 0.0000 0.2803 Mg
0.5000 0.0000 0.7197 Mg
0.5000 0.5000 0.2340 Mg
0.5000 0.5000 0.7660 Mg
0.1808 0.1808 0.5000 Ga
0.8192 0.8192 0.5000 Ga
0.2809 0.7191 0.0000 Pd
0.7191 0.2809 0.0000 Pd
```

Values from the calculation:
* VASP energy: -2.716 eV/atom
* magnetization: 0.0 Bohr magnetons per cell
* crystal system: orthorhombic
* energy of formation from the pure elements: -0.207 eV/atom
* V: 21.48 A^3/atom
* polymorph energy (0 for the lowest one): 0.1807 eV per atom